(1)
PBE ErMgCuTeSe2, optimized geometry; total moment = 0.000 μB/atom; E = -52.336 eV/cell
1.0
1.950 -6.648 0.000
1.950 6.648 0.000
0.000 0.000 10.886
Er Mg Cu Te Se
2 2 2 2 4
Cartesian
0.000 0.000 0.000
0.000 0.000 5.443
1.950 3.965 8.164
1.950 -3.965 2.721
1.950 0.298 2.721
1.950 -0.298 8.164
1.950 5.162 2.721
1.950 -5.162 8.164
1.950 1.875 0.845
1.950 1.875 4.598
1.950 -1.875 6.288
1.950 -1.875 10.041

=====

(2)
PBE SrIrAu2, optimized geometry; total moment = 0.002 μB/atom; E = -16.437 eV/cell
1.0
0.000 3.443 3.443
3.443 0.000 3.443
3.443 3.443 0.000
Sr Ir Au
1 1 2
Cartesian
0.000 0.000 0.000
1.722 1.722 1.722
3.443 3.443 3.443
5.165 5.165 5.165

=====

(3)
PBE LaDyH4, optimized geometry; total moment = 0.002 μB/atom; E = -26.957 eV/cell
1.0
3.770 0.000 0.000
0.000 3.770 0.000
0.000 0.000 5.486
La Dy H
1 1 4
Cartesian
0.000 0.000 0.000
1.885 1.885 2.743
0.000 1.885 1.502
0.000 1.885 3.984
1.885 0.000 1.502
1.885 0.000 3.984

=====

(4)
PBE TeMoAs, optimized geometry; total moment = 0.619 μB/atom; relative energy among the computed polymorphs = 0.0000 eV/atom
1.0
0.000 3.241 3.241
3.241 0.000 3.241
3.241 3.241 0.000
Te Mo As
1 1 1
Cartesian
0.000 0.000 0.000
4.861 4.861 4.861
3.241 3.241 3.241

=====

(5)
PBE LuMgNp, optimized geometry; total moment = 2.073 μB/atom; relative energy among the computed polymorphs = 0.0000 eV/atom
1.0
0.000 3.632 3.632
3.632 0.000 3.632
3.632 3.632 0.000
Lu Mg Np
1 1 1
Cartesian
0.000 0.000 0.000
1.816 1.816 1.816
3.632 3.632 3.632

=====

(6)
PBE Sn2HgTe, optimized geometry; E = -11.031 eV/cell
1.0
0.000 3.811 3.811
3.811 0.000 3.811
3.811 3.811 0.000
Sn Hg Te
2 1 1
Cartesian
0.000 0.000 0.000
1.906 1.906 1.906
5.717 5.717 5.717
3.811 3.811 3.811

=====

(7)
PBE KCoAuSeS2, optimized geometry; total moment = 0.003 μB/atom; E = -50.222 eV/cell
1.0
1.698 -8.195 0.000
1.698 8.195 0.000
0.000 0.000 9.700
K Co Au Se S
2 2 2 2 4
Cartesian
1.698 4.609 7.275
1.698 -4.609 2.425
1.698 0.000 0.000
1.698 0.000 4.850
1.698 6.389 2.425
1.698 -6.389 7.275
1.698 0.724 2.425
1.698 -0.724 7.275
1.698 6.658 0.117
1.698 6.658 4.733
1.698 -6.658 4.967
1.698 -6.658 9.583

=====

(8)
PBE CuAg4, optimized geometry; relative energy among the computed polymorphs = 0.0292 eV/atom; formation enthalpy at 0 K = 54 meV/atom
1.0
1.454 0.840 22.912
-1.454 0.840 22.912
0.000 -1.679 22.912
Cu Ag
2 8
Cartesian
0.000 0.000 6.901
0.000 0.000 61.837
0.000 0.000 0.000
0.000 0.000 13.885
0.000 0.000 20.534
0.000 0.000 27.689
0.000 0.000 34.369
0.000 0.000 41.048
0.000 0.000 48.204
0.000 0.000 54.852

=====

(9)
PBE InAgNO, optimized geometry; relative energy among the computed polymorphs = 0.0287 eV/atom
1.0
3.316 0.000 0.000
0.000 3.316 0.000
0.000 0.000 4.580
In Ag N O
1 1 1 1
Cartesian
0.000 0.000 0.000
1.658 1.658 2.290
1.658 1.658 0.000
0.000 0.000 2.290

=====

(10)
PBE TbHoB2As2Ir2, optimized geometry; total moment = 0.000 μB/atom; E = -56.516 eV/cell
1.0
3.966 0.000 0.000
0.000 3.966 0.000
0.000 0.000 8.639
Tb Ho B As Ir
1 1 2 2 2
Cartesian
0.000 0.000 0.000
1.983 1.983 3.635
0.000 0.000 5.216
1.983 1.983 7.067
0.000 0.000 3.068
1.983 1.983 0.583
0.000 1.983 6.134
1.983 0.000 6.134

=====

(11)
PBE TbNpOs, optimized geometry; total moment = 1.267 μB/atom; relative energy among the computed polymorphs = 0.0000 eV/atom; formation enthalpy at 0 K = 184 meV/atom
1.0
0.000 3.310 3.310
3.310 0.000 3.310
3.310 3.310 0.000
Tb Np Os
1 1 1
Cartesian
0.000 0.000 0.000
3.310 3.310 3.310
4.964 4.964 4.964

=====

(12)
PBE AlNiB4, optimized geometry; total moment = 0.000 μB/atom; relative energy among the computed polymorphs = 0.0000 eV/atom
1.0
2.989 0.000 0.000
-1.494 2.589 0.000
0.000 0.000 6.282
Al Ni B
1 1 4
Cartesian
0.000 0.000 0.000
0.000 0.000 3.141
0.000 1.726 1.571
0.000 1.726 4.711
1.494 0.863 1.571
1.494 0.863 4.711